<1>
A plane-wave DFT calculation with GGA-PBE was carried out for Tl2SiHgSe4 after structural relaxation.

a = 7.9809 Å, b = 8.5896 Å, c = 11.8213 Å
α = 90.00°, β = 90.00°, γ = 90.00°
Space group Imma (No. 74)
One atom of each set of equivalent atoms:
Tl  0.0000  0.0000  0.0000 (multiplicity 4)
Tl  0.2500  0.2500  0.2500 (multiplicity 4)
Si  0.2500  0.2500  0.7500 (multiplicity 4)
Hg  0.0000  0.0000  0.5000 (multiplicity 4)
Se  0.0000  0.0479  0.7469 (multiplicity 8)
Se  0.2370  0.2500  0.5258 (multiplicity 8)

total magnetic moment	0.0	μB/f.u.
Fermi-level density of states	18.13	states/eV per cell

<2>
A plane-wave DFT calculation with GGA-PBE was carried out for Tl2SiHgSe4 after structural relaxation.

a = 8.1404 Å, b = 8.1404 Å, c = 6.8544 Å
α = 90.00°, β = 90.00°, γ = 90.00°
Space group I-42m (No. 121)
One atom of each set of equivalent atoms:
Tl  0.0000  0.5000  0.0000 (multiplicity 4)
Si  0.0000  0.0000  0.0000 (multiplicity 2)
Hg  0.0000  0.0000  0.5000 (multiplicity 2)
Se  0.1608  0.1608  0.2044 (multiplicity 8)

total magnetic moment	0.0	μB/f.u.

It turns out <2> is the most stable, with the second structure 231 meV per atom higher.

<1>
A plane-wave DFT calculation with GGA-PBE was carried out for Sn4HgSe8 after structural relaxation.

a = 11.4630 Å, b = 11.4630 Å, c = 11.4630 Å
α = 90.00°, β = 90.00°, γ = 90.00°
Space group F-43m (No. 216)
One atom of each set of equivalent atoms:
Sn  0.1177  0.1177  0.1177 (multiplicity 16)
Hg  0.0000  0.0000  0.5000 (multiplicity 4)
Se  0.1242  0.1242  0.8758 (multiplicity 16)
Se  0.1348  0.1348  0.3652 (multiplicity 16)

total magnetic moment	0.0	μB/f.u.
Fermi-level density of states	27.99	states/eV per cell

<2>
A plane-wave DFT calculation with GGA-PBE was carried out for Sn4HgSe8 after structural relaxation.

a = 7.8906 Å, b = 7.8906 Å, c = 20.7415 Å
α = 90.00°, β = 90.00°, γ = 120.00°
Space group R-3m (No. 166, hexagonal axes)
One atom of each set of equivalent atoms:
Sn  0.0000  0.0000  0.0000 (multiplicity 3)
Sn  0.0000  0.5000  0.0000 (multiplicity 9)
Hg  0.0000  0.0000  0.5000 (multiplicity 3)
Se  0.0000  0.0000  0.2573 (multiplicity 6)
Se  0.0032  0.5016  0.2554 (multiplicity 18)

total magnetic moment	0.0	μB/f.u.
Fermi-level density of states	12.56	states/eV per cell

It turns out <2> is the most stable, with the second structure 25 meV per atom higher.

<1>
A plane-wave DFT calculation with GGA-PBE was carried out for SnHg2Se2 after structural relaxation.

a = 8.3603 Å, b = 8.3603 Å, c = 4.0764 Å
α = 90.00°, β = 90.00°, γ = 90.00°
Space group P4/mbm (No. 127)
One atom of each set of equivalent atoms:
Sn  0.0000  0.0000  0.0000 (multiplicity 2)
Hg  0.1143  0.3857  0.5000 (multiplicity 4)
Se  0.2306  0.7306  0.0000 (multiplicity 4)

total magnetic moment	0.0	μB/f.u.
Fermi-level density of states	4.20	states/eV per cell

<2>
A plane-wave DFT calculation with GGA-PBE was carried out for SnHg2Se2 after structural relaxation.

a = 4.1416 Å, b = 4.1416 Å, c = 16.3226 Å
α = 90.00°, β = 90.00°, γ = 90.00°
Space group I4/mmm (No. 139)
One atom of each set of equivalent atoms:
Sn  0.0000  0.0000  0.0000 (multiplicity 2)
Hg  0.0000  0.5000  0.2500 (multiplicity 4)
Se  0.0000  0.0000  0.4232 (multiplicity 4)

total magnetic moment	0.0	μB/f.u.
Fermi-level density of states	1.44	states/eV per cell

It turns out <1> is the most stable, with the second structure 7 meV per atom higher.

<1>
A plane-wave DFT calculation with GGA-PBE was carried out for SnHgSe3 after structural relaxation.

a = 13.7817 Å, b = 4.0853 Å, c = 11.0843 Å
α = 90.00°, β = 96.54°, γ = 90.00°
Space group C2/m (No. 12)
One atom of each set of equivalent atoms:
Sn  0.0833  0.0000  0.2738 (multiplicity 4)
Hg  0.1698  0.5000  0.8621 (multiplicity 4)
Se  0.1026  0.0000  0.7134 (multiplicity 4)
Se  0.1389  0.0000  0.0592 (multiplicity 4)
Se  0.1560  0.5000  0.4004 (multiplicity 4)

total magnetic moment	0.0	μB/f.u.
Fermi-level density of states	1.82	states/eV per cell

<2>
A plane-wave DFT calculation with GGA-PBE was carried out for SnHgSe3 after structural relaxation.

a = 9.7279 Å, b = 3.9417 Å, c = 14.9481 Å
α = 90.00°, β = 90.00°, γ = 90.00°
Space group Pnma (No. 62)
One atom of each set of equivalent atoms:
Sn  0.1641  0.2500  0.0395 (multiplicity 4)
Hg  0.0165  0.2500  0.6114 (multiplicity 4)
Se  0.0051  0.7500  0.1116 (multiplicity 4)
Se  0.1700  0.7500  0.6840 (multiplicity 4)
Se  0.1808  0.2500  0.4418 (multiplicity 4)

total magnetic moment	0.0	μB/f.u.
Fermi-level density of states	5.33	states/eV per cell

<3>
A plane-wave DFT calculation with GGA-PBE was carried out for SnHgSe3 after structural relaxation.

a = 5.3234 Å, b = 5.3234 Å, c = 5.3234 Å
α = 90.00°, β = 90.00°, γ = 90.00°
Space group Pm-3m (No. 221)
One atom of each set of equivalent atoms:
Sn  0.0000  0.0000  0.0000 (multiplicity 1)
Hg  0.5000  0.5000  0.5000 (multiplicity 1)
Se  0.0000  0.0000  0.5000 (multiplicity 3)

total magnetic moment	0.0	μB/f.u.
Fermi-level density of states	7.69	states/eV per cell

It turns out <1> is the most stable, with the second structure 58 meV per atom higher.

<1>
A plane-wave DFT calculation with GGA-PBE was carried out for SrHgSe after structural relaxation.

a = 4.2819 Å, b = 4.2819 Å, c = 13.5879 Å
α = 90.00°, β = 90.00°, γ = 90.00°
Space group I4mm (No. 107)
One atom of each set of equivalent atoms:
Sr  0.0000  0.0000  0.0000 (multiplicity 2)
Hg  0.0000  0.0000  0.7555 (multiplicity 2)
Se  0.0000  0.0000  0.5316 (multiplicity 2)

total magnetic moment	0.0	μB/f.u.
Fermi-level density of states	0.00	states/eV per cell

<2>
A plane-wave DFT calculation with GGA-PBE was carried out for SrHgSe after structural relaxation.

a = 5.6183 Å, b = 5.6183 Å, c = 6.3232 Å
α = 90.00°, β = 90.00°, γ = 120.00°
Space group P6_3/mmc (No. 194)
One atom of each set of equivalent atoms:
Sr  0.3333  0.6667  0.2500 (multiplicity 2)
Hg  0.0000  0.0000  0.0000 (multiplicity 2)
Se  0.3333  0.6667  0.7500 (multiplicity 2)

total magnetic moment	0.0	μB/f.u.
Fermi-level density of states	0.06	states/eV per cell

It turns out <2> is the most stable, with the second structure 103 meV per atom higher.

<1>
A plane-wave DFT calculation with GGA-PBE was carried out for SrHgSe after structural relaxation.

a = 4.4061 Å, b = 4.4061 Å, c = 18.7849 Å
α = 90.00°, β = 90.00°, γ = 90.00°
Space group I4/mmm (No. 139)
One atom of each set of equivalent atoms:
Sr  0.0000  0.0000  0.1674 (multiplicity 4)
Hg  0.0000  0.5000  0.0000 (multiplicity 4)
Se  0.0000  0.0000  0.3330 (multiplicity 4)

total magnetic moment	0.0	μB/f.u.
Fermi-level density of states	2.57	states/eV per cell

<2>
A plane-wave DFT calculation with GGA-PBE was carried out for SrHgSe after structural relaxation.

a = 7.4689 Å, b = 7.4689 Å, c = 7.4689 Å
α = 90.00°, β = 90.00°, γ = 90.00°
Space group F-43m (No. 216)
One atom of each set of equivalent atoms:
Sr  0.0000  0.0000  0.0000 (multiplicity 4)
Hg  0.0000  0.0000  0.5000 (multiplicity 4)
Se  0.2500  0.2500  0.7500 (multiplicity 4)

total magnetic moment	0.0	μB/f.u.

<3>
A plane-wave DFT calculation with GGA-PBE was carried out for SrHgSe after structural relaxation.

a = 11.0352 Å, b = 4.1520 Å, c = 8.3485 Å
α = 90.00°, β = 101.85°, γ = 90.00°
Space group C2/m (No. 12)
One atom of each set of equivalent atoms:
Sr  0.1349  0.0000  0.1558 (multiplicity 4)
Hg  0.1371  0.0000  0.5693 (multiplicity 4)
Se  0.0910  0.5000  0.8536 (multiplicity 4)

total magnetic moment	0.0	μB/f.u.
Fermi-level density of states	0.04	states/eV per cell

<4>
A plane-wave DFT calculation with GGA-PBE was carried out for SrHgSe after structural relaxation.

a = 7.4075 Å, b = 7.4075 Å, c = 7.4075 Å
α = 90.00°, β = 90.00°, γ = 90.00°
Space group F-43m (No. 216)
One atom of each set of equivalent atoms:
Sr  0.0000  0.0000  0.0000 (multiplicity 4)
Hg  0.2500  0.2500  0.2500 (multiplicity 4)
Se  0.2500  0.2500  0.7500 (multiplicity 4)

total magnetic moment	0.0	μB/f.u.
Fermi-level density of states	0.00	states/eV per cell

It turns out <1> is the most stable, with the second structure 175 meV per atom higher.